[1]
# K2AsPt (GGA-PBE, relaxed)
data_K2AsPt
_cell_length_a 3.576
_cell_length_b 3.576
_cell_length_c 9.892
_cell_angle_alpha 90.00
_cell_angle_beta 90.00
_cell_angle_gamma 90.00
_space_group_name_H-M_alt 'P 4 m m'
_space_group_IT_number 99
loop_
_space_group_symop_operation_xyz
'x,y,z'
'-y,x,z'
'-x,-y,z'
'y,-x,z'
'-x,y,z'
'y,x,z'
'x,-y,z'
'-y,-x,z'
loop_
_atom_site_label
_atom_site_type_symbol
_atom_site_fract_x
_atom_site_fract_y
_atom_site_fract_z
K1 K 0.000 0.000 0.000
K2 K 0.500 0.500 0.421
As1 As 0.500 0.500 0.746
Pt1 Pt 0.000 0.000 0.677
# Spin magnetization, μB per cell: 0.00
# Calculated volume, Å³/atom: 31.63
# Calculated formation energy, meV/atom: -207

---

[2]
# GaTcCl3 (GGA-PBE, relaxed)
data_GaTcCl3
_cell_length_a 4.963
_cell_length_b 4.963
_cell_length_c 4.963
_cell_angle_alpha 90.00
_cell_angle_beta 90.00
_cell_angle_gamma 90.00
_space_group_name_H-M_alt 'P m -3 m'
_space_group_IT_number 221
_space_group_name_Hall '-P 4 2 3'
loop_
_atom_site_label
_atom_site_type_symbol
_atom_site_fract_x
_atom_site_fract_y
_atom_site_fract_z
Ga1 Ga 0.000 0.000 0.000
Tc1 Tc 0.500 0.500 0.500
Cl1 Cl 0.000 0.500 0.500
# Formation energy (no corrections), eV/atom: -0.27
# Distance to the lowest polymorph of the same formula, eV/atom: 0.000
# Spin magnetization, μB per cell: 2.84
# Calculated volume, Å³/atom: 24.45

---

[3]
# AcPmNd (GGA-PBE, relaxed)
data_AcPmNd
_cell_length_a 5.0992
_cell_length_b 5.0992
_cell_length_c 6.3542
_cell_angle_alpha 90.00
_cell_angle_beta 90.00
_cell_angle_gamma 120.00
_space_group_name_H-M_alt 'P -6 m 2'
_space_group_IT_number 187
_space_group_name_Hall 'P -6 2'
loop_
_atom_site_label
_atom_site_type_symbol
_atom_site_fract_x
_atom_site_fract_y
_atom_site_fract_z
Ac1 Ac 0.0000 0.0000 0.0000
Pm1 Pm 0.6667 0.3333 0.5000
Nd1 Nd 0.0000 0.0000 0.5000
# Distance to the lowest polymorph of the same formula, eV/atom: 1.185
# Spin magnetization, μB per cell: 0.00
# Calculated volume, Å³/atom: 47.69
# Calculated formation energy, meV/atom: 1218

---

[4]
# BiAs2Br (GGA-PBE, relaxed)
data_BiAs2Br
_cell_length_a 7.249
_cell_length_b 7.249
_cell_length_c 7.249
_cell_angle_alpha 90.00
_cell_angle_beta 90.00
_cell_angle_gamma 90.00
_space_group_name_H-M_alt 'F m -3 m'
_space_group_IT_number 225
_space_group_name_Hall '-F 4 2 3'
loop_
_atom_site_label
_atom_site_type_symbol
_atom_site_fract_x
_atom_site_fract_y
_atom_site_fract_z
Bi1 Bi 0.000 0.000 0.000
As1 As 0.250 0.250 0.250
Br1 Br 0.000 0.000 0.500
# Formation energy (no corrections), eV/atom: 0.41
# Distance to the lowest polymorph of the same formula, eV/atom: 0.014
# Spin magnetization, μB per cell: 0.00
# Calculated volume, Å³/atom: 23.81

---

[5]
# TaCdSe3 (GGA-PBE, relaxed)
data_TaCdSe3
_cell_length_a 5.041
_cell_length_b 5.041
_cell_length_c 5.041
_cell_angle_alpha 90.00
_cell_angle_beta 90.00
_cell_angle_gamma 90.00
_space_group_name_H-M_alt 'P m -3 m'
_space_group_IT_number 221
_space_group_name_Hall '-P 4 2 3'
loop_
_atom_site_label
_atom_site_type_symbol
_atom_site_fract_x
_atom_site_fract_y
_atom_site_fract_z
Ta1 Ta 0.000 0.000 0.000
Cd1 Cd 0.500 0.500 0.500
Se1 Se 0.000 0.500 0.500
# Formation energy (no corrections), eV/atom: 1.19
# Distance to the lowest polymorph of the same formula, eV/atom: 1.363
# Spin magnetization, μB per cell: 0.00
# Calculated volume, Å³/atom: 25.62

---

[6]
# Li2SmDySi2 (GGA-PBE, relaxed)
data_Li2SmDySi2
_cell_length_a 4.4025
_cell_length_b 4.4025
_cell_length_c 7.2516
_cell_angle_alpha 90.00
_cell_angle_beta 90.00
_cell_angle_gamma 120.00
_space_group_name_H-M_alt 'P -3 m 1'
_space_group_IT_number 164
_space_group_name_Hall '-P 3 2"'
loop_
_atom_site_label
_atom_site_type_symbol
_atom_site_fract_x
_atom_site_fract_y
_atom_site_fract_z
Li1 Li 0.3333 0.6667 0.2310
Sm1 Sm 0.0000 0.0000 0.5000
Dy1 Dy 0.0000 0.0000 0.0000
Si1 Si 0.3333 0.6667 0.7581
# Formation energy (no corrections), eV/atom: -0.56
# Spin magnetization, μB per cell: 0.00
# Calculated volume, Å³/atom: 20.29